1.
Computed, not measured: crystalline Y5ErAs6 at its relaxed geometry at the PBE level of DFT.

a b c (Å): 7.1313 7.1313 7.1300
angles (deg): 99.60 99.60 119.98
Fractional positions:
Y1 0.0000 0.0000 0.0000
Y2 0.1665 0.8335 0.5000
Y3 0.3329 0.6671 0.0000
Y4 0.6671 0.3329 0.0000
Y5 0.8335 0.1665 0.5000
Er1 0.5000 0.5000 0.5000
As1 0.0854 0.4171 0.2511
As2 0.2514 0.2514 0.7492
As3 0.4171 0.0854 0.2511
As4 0.5829 0.9146 0.7489
As5 0.7486 0.7486 0.2508
As6 0.9146 0.5829 0.7489

Summary:
Magnetic moment: 0.00 μB/f.u.
ΔE_f: -1.55 eV/atom
Crystal system: monoclinic
Volume: 296.11 Å³/f.u.
D(E_F): 0.103 states/eV/atom


2.
Computed, not measured: crystalline Y3ErAs4 at its relaxed geometry at the PBE level of DFT.

a b c (Å): 5.8150 5.8150 5.8150
angles (deg): 90.00 90.00 90.00
Fractional positions:
Y1 0.0000 0.0000 0.5000
Y2 0.0000 0.5000 0.0000
Y3 0.5000 0.0000 0.0000
Er1 0.5000 0.5000 0.5000
As1 0.0000 0.0000 0.0000
As2 0.0000 0.5000 0.5000
As3 0.5000 0.0000 0.5000
As4 0.5000 0.5000 0.0000

Summary:
Magnetic moment: 0.00 μB/f.u.
ΔE_f: -1.55 eV/atom
Crystal system: cubic
Volume: 196.63 Å³/f.u.
D(E_F): 0.094 states/eV/atom
Energy above the lowest structure with this stoichiometry: 0 meV/atom


3.
Computed, not measured: crystalline Y4ErAs5 at its relaxed geometry at the PBE level of DFT.

a b c (Å): 7.1294 7.1294 7.1294
angles (deg): 99.59 99.59 131.81
Fractional positions:
Y1 0.0995 0.7000 0.7995
Y2 0.3000 0.0995 0.3996
Y3 0.7000 0.9005 0.6004
Y4 0.9005 0.3000 0.2005
Er1 0.5000 0.5000 0.0000
As1 0.0000 0.0000 0.0000
As2 0.2016 0.4005 0.6021
As3 0.4005 0.7984 0.1989
As4 0.5995 0.2016 0.8011
As5 0.7984 0.5995 0.3979

Summary:
Magnetic moment: 0.00 μB/f.u.
ΔE_f: -1.55 eV/atom
Crystal system: tetragonal
Volume: 246.56 Å³/f.u.
D(E_F): 0.070 states/eV/atom


4.
Computed, not measured: crystalline YEr3As4 at its relaxed geometry at the PBE level of DFT.

a b c (Å): 5.7845 5.7845 5.7845
angles (deg): 90.00 90.00 90.00
Fractional positions:
Y1 0.0000 0.0000 0.0000
Er1 0.0000 0.5000 0.5000
Er2 0.5000 0.0000 0.5000
Er3 0.5000 0.5000 0.0000
As1 0.0000 0.0000 0.5000
As2 0.0000 0.5000 0.0000
As3 0.5000 0.0000 0.0000
As4 0.5000 0.5000 0.5000

Summary:
Magnetic moment: 0.00 μB/f.u.
ΔE_f: -1.53 eV/atom
Crystal system: cubic
Volume: 193.55 Å³/f.u.
D(E_F): 0.090 states/eV/atom


5.
Computed, not measured: crystalline Y3ErAs4 at its relaxed geometry at the PBE level of DFT.

a b c (Å): 8.2266 11.6325 4.1146
angles (deg): 90.00 90.00 90.00
Fractional positions:
Y1 0.0000 0.0000 0.0000
Y2 0.2500 0.2500 0.5000
Y3 0.2500 0.7500 0.5000
Y4 0.5000 0.5000 0.0000
Y5 0.7500 0.2500 0.5000
Y6 0.7500 0.7500 0.5000
Er1 0.0000 0.5000 0.0000
Er2 0.5000 0.0000 0.0000
As1 0.0000 0.2510 0.0000
As2 0.0000 0.7490 0.0000
As3 0.2480 0.5000 0.5000
As4 0.2520 0.0000 0.5000
As5 0.5000 0.2490 0.0000
As6 0.5000 0.7510 0.0000
As7 0.7480 0.0000 0.5000
As8 0.7520 0.5000 0.5000

Summary:
Magnetic moment: 0.00 μB/f.u.
ΔE_f: -1.55 eV/atom
Crystal system: orthorhombic
Volume: 196.87 Å³/f.u.
D(E_F): 0.130 states/eV/atom
Energy above the lowest structure with this stoichiometry: 3 meV/atom


6.
Computed, not measured: crystalline Y2ErZrAs4 at its relaxed geometry at the PBE level of DFT.

a b c (Å): 6.9956 4.0369 6.9983
angles (deg): 90.00 109.30 90.00
Fractional positions:
Y1 0.0000 0.0000 0.0000
Y2 0.5000 0.5000 0.0000
Er1 0.0000 0.5000 0.5000
Zr1 0.5000 0.0000 0.5000
As1 0.2534 0.0000 0.7426
As2 0.2590 0.5000 0.2610
As3 0.7410 0.5000 0.7390
As4 0.7466 0.0000 0.2574

Summary:
Magnetic moment: 0.00 μB/f.u.
ΔE_f: -1.44 eV/atom
Crystal system: monoclinic
Volume: 186.53 Å³/f.u.
D(E_F): 0.185 states/eV/atom


7.
Computed, not measured: crystalline YEr2ZrAs4 at its relaxed geometry at the PBE level of DFT.

a b c (Å): 6.9771 4.0263 6.9796
angles (deg): 90.00 109.30 90.00
Fractional positions:
Y1 0.0000 0.0000 0.0000
Er1 0.5000 0.0000 0.5000
Er2 0.5000 0.5000 0.0000
Zr1 0.0000 0.5000 0.5000
As1 0.2431 0.0000 0.7412
As2 0.2477 0.5000 0.2564
As3 0.7523 0.5000 0.7436
As4 0.7569 0.0000 0.2588

Summary:
Magnetic moment: 0.00 μB/f.u.
ΔE_f: -1.43 eV/atom
Crystal system: monoclinic
Volume: 185.05 Å³/f.u.
D(E_F): 0.178 states/eV/atom


8.
Computed, not measured: crystalline ErZnAs at its relaxed geometry at the PBE level of DFT.

a b c (Å): 7.7351 6.6907 8.4316
angles (deg): 60.23 48.66 71.11
Fractional positions:
Er1 0.2866 0.7134 0.4127
Er2 0.6627 0.8373 0.5366
Er3 0.7134 0.2866 0.5873
Er4 0.8373 0.6627 0.9634
Zn1 0.0861 0.7041 0.1218
Zn2 0.1282 0.1621 0.1639
Zn3 0.1621 0.1282 0.5459
Zn4 0.7041 0.0861 0.0879
As1 0.2963 0.5425 0.7990
As2 0.4510 0.8877 0.9537
As3 0.5425 0.2963 0.3623
As4 0.8877 0.4510 0.7075

Summary:
Magnetic moment: 0.00 μB/f.u.
ΔE_f: -0.59 eV/atom
Crystal system: orthorhombic
Volume: 71.09 Å³/f.u.
D(E_F): 0.167 states/eV/atom


9.
Computed, not measured: crystalline Er5Zr3As8 at its relaxed geometry at the PBE level of DFT.

a b c (Å): 8.0044 8.0044 8.0044
angles (deg): 59.68 59.68 59.68
Fractional positions:
Er1 0.0000 0.0000 0.0000
Er2 0.0000 0.5000 0.5000
Er3 0.5000 0.0000 0.5000
Er4 0.5000 0.5000 0.0000
Er5 0.5000 0.5000 0.5000
Zr1 0.0000 0.0000 0.5000
Zr2 0.0000 0.5000 0.0000
Zr3 0.5000 0.0000 0.0000
As1 0.2425 0.7500 0.7500
As2 0.2465 0.2465 0.2465
As3 0.2500 0.2500 0.7575
As4 0.2500 0.7575 0.2500
As5 0.7500 0.2425 0.7500
As6 0.7500 0.7500 0.2425
As7 0.7535 0.7535 0.7535
As8 0.7575 0.2500 0.2500

Summary:
Magnetic moment: 0.00 μB/f.u.
ΔE_f: -1.36 eV/atom
Crystal system: trigonal
Volume: 360.04 Å³/f.u.
D(E_F): 0.446 states/eV/atom


10.
Computed, not measured: crystalline Er3ZrAs4 at its relaxed geometry at the PBE level of DFT.

a b c (Å): 8.0534 11.3536 4.0152
angles (deg): 90.00 90.00 90.00
Fractional positions:
Er1 0.0000 0.0000 0.0000
Er2 0.2500 0.2500 0.5000
Er3 0.2500 0.7500 0.5000
Er4 0.5000 0.5000 0.0000
Er5 0.7500 0.2500 0.5000
Er6 0.7500 0.7500 0.5000
Zr1 0.0000 0.5000 0.0000
Zr2 0.5000 0.0000 0.0000
As1 0.0000 0.2543 0.0000
As2 0.0000 0.7457 0.0000
As3 0.2423 0.5000 0.5000
As4 0.2577 0.0000 0.5000
As5 0.5000 0.2457 0.0000
As6 0.5000 0.7543 0.0000
As7 0.7423 0.0000 0.5000
As8 0.7577 0.5000 0.5000

Summary:
Magnetic moment: 0.00 μB/f.u.
ΔE_f: -1.42 eV/atom
Crystal system: orthorhombic
Volume: 183.57 Å³/f.u.
D(E_F): 0.175 states/eV/atom


11.
Computed, not measured: crystalline Er4ZrAs5 at its relaxed geometry at the PBE level of DFT.

a b c (Å): 6.9792 6.9792 6.9792
angles (deg): 99.61 99.61 131.76
Fractional positions:
Er1 0.0977 0.3005 0.3981
Er2 0.3005 0.9023 0.2028
Er3 0.6995 0.0977 0.7972
Er4 0.9023 0.6995 0.6019
Zr1 0.5000 0.5000 0.0000
As1 0.0000 0.0000 0.0000
As2 0.2066 0.5984 0.8051
As3 0.4016 0.2066 0.6082
As4 0.5984 0.7934 0.3918
As5 0.7934 0.4016 0.1949

Summary:
Magnetic moment: 0.00 μB/f.u.
ΔE_f: -1.44 eV/atom
Crystal system: tetragonal
Volume: 231.45 Å³/f.u.
D(E_F): 0.224 states/eV/atom


12.
Computed, not measured: crystalline ErZr2As4 at its relaxed geometry at the PBE level of DFT.

a b c (Å): 6.7312 6.7312 12.7298
angles (deg): 90.00 90.00 146.52
Fractional positions:
Er1 0.1081 0.8919 0.7500
Er2 0.8919 0.1081 0.2500
Zr1 0.3650 0.6350 0.5566
Zr2 0.3650 0.6350 0.9434
Zr3 0.6350 0.3650 0.0566
Zr4 0.6350 0.3650 0.4434
As1 0.0000 0.0000 0.0000
As2 0.0000 0.0000 0.5000
As3 0.2636 0.7364 0.1331
As4 0.2636 0.7364 0.3669
As5 0.4445 0.5555 0.7500
As6 0.5555 0.4445 0.2500
As7 0.7364 0.2636 0.6331
As8 0.7364 0.2636 0.8669

Summary:
Magnetic moment: 0.00 μB/f.u.
ΔE_f: -0.92 eV/atom
Crystal system: orthorhombic
Volume: 159.09 Å³/f.u.
D(E_F): 0.261 states/eV/atom